Record 1
Crystalline LiCaTa at its relaxed geometry, computed with PBE-GGA.

Cell and atoms, written as POSCAR:
```
LiCaTa
1.0
4.680 0.000 0.000
0.000 2.730 5.760
0.000 -2.730 5.760
Li Ca Ta
2 2 2
Direct
0.000 0.000 0.000 Li
0.000 0.368 0.368 Li
0.500 0.166 0.166 Ca
0.500 0.830 0.830 Ca
0.000 0.611 0.611 Ta
0.500 0.527 0.527 Ta
```

Properties
Energy above the most stable polymorph in this dataset   0.359 eV/atom
Calculated volume   147.17 Å³/cell
Energy of formation   0.603 eV per atom

***

Record 2
Crystalline Ga5Sn3Bi12 at its relaxed geometry, computed with PBE-GGA.

Cell and atoms, written as POSCAR:
```
Ga5Sn3Bi12
1.0
-8.782 8.782 8.782
8.782 -8.782 8.782
8.782 8.782 -8.782
Ga Sn Bi
20 12 48
Direct
0.000 0.000 0.000 Ga
0.000 0.000 0.500 Ga
0.000 0.500 0.000 Ga
0.000 0.500 0.500 Ga
0.125 0.750 0.875 Ga
0.125 0.875 0.250 Ga
0.250 0.125 0.875 Ga
0.250 0.625 0.375 Ga
0.375 0.250 0.625 Ga
0.375 0.625 0.750 Ga
0.500 0.000 0.000 Ga
0.500 0.000 0.500 Ga
0.500 0.500 0.000 Ga
0.500 0.500 0.500 Ga
0.625 0.375 0.250 Ga
0.625 0.750 0.375 Ga
0.750 0.375 0.625 Ga
0.750 0.875 0.125 Ga
0.875 0.125 0.750 Ga
0.875 0.250 0.125 Ga
0.125 0.250 0.375 Sn
0.125 0.375 0.750 Sn
0.250 0.375 0.125 Sn
0.250 0.875 0.625 Sn
0.375 0.125 0.250 Sn
0.375 0.750 0.125 Sn
0.625 0.250 0.875 Sn
0.625 0.875 0.750 Sn
0.750 0.125 0.375 Sn
0.750 0.625 0.875 Sn
0.875 0.625 0.250 Sn
0.875 0.750 0.625 Sn
0.039 0.221 0.102 Bi
0.039 0.317 0.937 Bi
0.063 0.602 0.381 Bi
0.063 0.961 0.683 Bi
0.102 0.039 0.221 Bi
0.102 0.563 0.881 Bi
0.119 0.721 0.683 Bi
0.119 0.898 0.437 Bi
0.183 0.221 0.619 Bi
0.183 0.461 0.563 Bi
0.221 0.102 0.039 Bi
0.221 0.619 0.183 Bi
0.279 0.317 0.881 Bi
0.279 0.461 0.398 Bi
0.317 0.881 0.279 Bi
0.317 0.937 0.039 Bi
0.381 0.063 0.602 Bi
0.381 0.817 0.779 Bi
0.398 0.279 0.461 Bi
0.398 0.619 0.937 Bi
0.437 0.119 0.898 Bi
0.437 0.817 0.539 Bi
0.461 0.398 0.279 Bi
0.461 0.563 0.183 Bi
0.539 0.437 0.817 Bi
0.539 0.602 0.721 Bi
0.563 0.183 0.461 Bi
0.563 0.881 0.102 Bi
0.602 0.381 0.063 Bi
0.602 0.721 0.539 Bi
0.619 0.183 0.221 Bi
0.619 0.937 0.398 Bi
0.683 0.063 0.961 Bi
0.683 0.119 0.721 Bi
0.721 0.539 0.602 Bi
0.721 0.683 0.119 Bi
0.779 0.381 0.817 Bi
0.779 0.898 0.961 Bi
0.817 0.539 0.437 Bi
0.817 0.779 0.381 Bi
0.881 0.102 0.563 Bi
0.881 0.279 0.317 Bi
0.898 0.437 0.119 Bi
0.898 0.961 0.779 Bi
0.937 0.039 0.317 Bi
0.937 0.398 0.619 Bi
0.961 0.683 0.063 Bi
0.961 0.779 0.898 Bi
```

Properties
Calculated volume   2709.40 Å³/cell
Energy of formation   0.226 eV per atom

***

no.,total energy (eV/cell)
1,-27.92
2,-276.80